Material: AlCr2H2
Method: DFT, PBEsol
State: optimized geometry

Cell lengths 4.996, 4.996, 4.996 Å; angles 144.75, 144.75, 50.71 degrees
Element x y z (fractional)
Al1 0.000 0.000 0.000
Cr1 0.335 0.335 0.000
Cr2 0.665 0.665 0.000
H1 0.250 0.750 0.500
H2 0.750 0.250 0.500

Computed properties:
* uncorrected energy: -6.293 eV/atom
* mass density: 5.3 g/cm³

---

Material: Ca2Mg2Zn
Method: DFT, PBEsol
State: optimized geometry

Cell lengths 8.174, 8.174, 6.398 Å; angles 90.00, 90.00, 142.16 degrees
Element x y z (fractional)
Ca1 0.076 0.924 0.500
Ca2 0.320 0.680 0.311
Ca3 0.680 0.320 0.811
Ca4 0.924 0.076 0.000
Mg1 0.290 0.710 0.804
Mg2 0.470 0.530 0.671
Mg3 0.530 0.470 0.171
Mg4 0.710 0.290 0.304
Zn1 0.136 0.864 0.041
Zn2 0.864 0.136 0.541

Computed properties:
* polymorph energy (0 for the lowest one): 0.179 eV/f.u.
* uncorrected energy: -1.936 eV/atom
* DFT formation energy: -7.7 kJ/mol of atoms
* mass density: 2.5 g/cm³

---

Material: ReSnO3
Method: DFT, PBEsol
State: optimized geometry

Cell lengths 3.951, 3.951, 3.951 Å; angles 90.00, 90.00, 90.00 degrees
Element x y z (fractional)
Re1 0.000 0.000 0.000
Sn1 0.500 0.500 0.500
O1 0.000 0.000 0.500
O2 0.000 0.500 0.000
O3 0.500 0.000 0.000

Computed properties:
* uncorrected energy: -7.741 eV/atom
* formation energy (no corrections): -1073 meV/atom
* mass density: 9.5 g/cm³

---

| no. | N(E_F) (states/eV per cell) |
| --- | --- |
| 1 | 3.058 |
| 2 | 7.002 |
| 3 | 2.336 |